Record 1
A geometry-optimized ZnP4H16N2O16 structure, computed with PBE.

Lattice parameters (Å, degrees): 7.1753 7.4273 7.8174 99.07 108.64 90.63
Closest atoms and distances in Å follow each position.
Atoms (fractional coordinates):
Zn  0.0000  0.0000  0.0000  6 O 2.08-2.21
P  0.1678  0.2504  0.7442  4 O 1.51-1.62
P  0.2421  0.7191  0.2593  4 O 1.51-1.62
P  0.7579  0.2809  0.7407  4 O 1.51-1.62
P  0.8322  0.7496  0.2558  4 O 1.51-1.62
H  0.1222  0.2015  0.3495  1 O 0.99
H  0.1216  0.3339  0.2067  1 O 1.00
H  0.2396  0.4823  0.9809  1 O 1.07
H  0.3231  0.9024  0.8276  1 N 1.04
H  0.3446  0.6738  0.8127  1 N 1.04
H  0.4207  0.7882  0.6736  1 N 1.04
H  0.4394  0.2274  0.5772  1 O 1.05
H  0.4513  0.1805  0.0982  1 N 1.04
H  0.5487  0.8195  0.9018  1 N 1.04
H  0.5606  0.7726  0.4228  1 O 1.05
H  0.5793  0.2118  0.3264  1 N 1.04
H  0.6554  0.3262  0.1873  1 N 1.04
H  0.6769  0.0976  0.1724  1 N 1.04
H  0.7604  0.5177  0.0191  1 O 1.07
H  0.8784  0.6661  0.7933  1 O 1.00
H  0.8778  0.7985  0.6505  1 O 0.99
N  0.4098  0.7960  0.8042  4 H 1.04
N  0.5902  0.2040  0.1958  4 H 1.04
O  0.0599  0.2188  0.2208  2 H 0.99-1.00
O  0.0677  0.7399  0.3501  2 P 1.62
O  0.2047  0.1193  0.8821  1 P 1.53
O  0.2279  0.5221  0.1614  1 H 1.42, 1 P 1.53
O  0.2369  0.8631  0.1417  1 P 1.51
O  0.2419  0.1995  0.5838  1 H 1.45, 1 P 1.51
O  0.2519  0.4487  0.8475  1 H 1.07
O  0.4236  0.7542  0.4415  1 H 1.05
O  0.5764  0.2458  0.5585  1 H 1.05
O  0.7481  0.5513  0.1525  1 H 1.07
O  0.7581  0.8005  0.4162  1 H 1.45, 1 P 1.51
O  0.7631  0.1369  0.8583  1 P 1.51
O  0.7721  0.4779  0.8386  1 H 1.42, 1 P 1.53
O  0.7953  0.8807  0.1179  1 P 1.53
O  0.9323  0.2601  0.6499  2 P 1.62
O  0.9401  0.7812  0.7792  2 H 0.99-1.00

Results
SG	P-1, No. 2
calculated volume	389.0	Å³/f.u.
magnetization	0.000	μB per atom
DFT total energy	-5.821	eV per atom

***

Record 2
A geometry-optimized ZnP3H12NO13 structure, computed with PBE.

Lattice parameters (Å, degrees): 7.5013 8.6825 10.4742 71.86 76.07 70.40
Closest atoms and distances in Å follow each position.
Atoms (fractional coordinates):
Zn  0.0000  0.0000  0.0000  6 O 2.05-2.20
Zn  0.5000  0.5000  0.5000  6 O 2.06-2.28
P  0.0742  0.5190  0.7529  4 O 1.50-1.63
P  0.1341  0.1282  0.2261  4 O 1.50-1.62
P  0.2942  0.2338  0.9344  4 O 1.50-1.62
P  0.7058  0.7662  0.0656  4 O 1.50-1.62
P  0.8659  0.8718  0.7739  4 O 1.50-1.62
P  0.9258  0.4810  0.2471  4 O 1.50-1.63
H  0.0219  0.1795  0.6433  1 N 1.03
H  0.1740  0.1666  0.4950  1 N 1.04
H  0.1866  0.2900  0.5920  1 N 1.04
H  0.1894  0.6728  0.0656  1 O 0.99
H  0.2515  0.0750  0.6466  1 N 1.05
H  0.2687  0.5454  0.3091  1 O 0.99
H  0.3322  0.7817  0.0419  1 O 1.01
H  0.3477  0.8206  0.8108  1 O 0.99
H  0.3689  0.8438  0.4403  1 O 0.99
H  0.4081  0.6652  0.2561  1 O 1.00
H  0.4245  0.7821  0.5898  1 O 1.00
H  0.4727  0.1193  0.2838  1 O 0.99
H  0.5273  0.8807  0.7162  1 O 0.99
H  0.5755  0.2179  0.4102  1 O 1.00
H  0.5919  0.3348  0.7439  1 O 1.00
H  0.6311  0.1562  0.5597  1 O 0.99
H  0.6523  0.1794  0.1892  1 O 0.99
H  0.6678  0.2183  0.9581  1 O 1.01
H  0.7313  0.4546  0.6909  1 O 0.99
H  0.7485  0.9250  0.3534  1 N 1.05
H  0.8106  0.3272  0.9344  1 O 0.99
H  0.8134  0.7100  0.4080  1 N 1.04
H  0.8260  0.8334  0.5050  1 N 1.04
H  0.9781  0.8205  0.3567  1 N 1.03
N  0.1574  0.1808  0.5924  4 H 1.03-1.05
N  0.8426  0.8192  0.4076  4 H 1.03-1.05
O  0.0483  0.7130  0.7490  2 P 1.62
O  0.0590  0.0078  0.1931  1 P 1.50
O  0.1160  0.5161  0.2213  1 P 1.50
O  0.1756  0.4310  0.8893  2 P 1.62-1.63
O  0.1996  0.1277  0.8995  1 P 1.50
O  0.2160  0.4762  0.6312  1 P 1.51
O  0.2287  0.7716  0.0018  2 H 0.99-1.01
O  0.2447  0.0678  0.3436  1 P 1.51
O  0.2696  0.2105  0.0958  2 P 1.61-1.62
O  0.3476  0.5953  0.3392  2 H 0.99-1.00
O  0.4016  0.8666  0.7163  2 H 0.99
O  0.4523  0.7517  0.5008  2 H 0.99-1.00
O  0.4968  0.7868  0.1183  1 P 1.50, 2 H 1.64
O  0.5032  0.2132  0.8817  1 P 1.50, 2 H 1.64
O  0.5477  0.2483  0.4992  2 H 0.99-1.00
O  0.5984  0.1334  0.2837  2 H 0.99
O  0.6524  0.4047  0.6608  2 H 0.99-1.00
O  0.7304  0.7895  0.9042  2 P 1.61-1.62
O  0.7553  0.9322  0.6564  1 P 1.51
O  0.7713  0.2284  0.9982  2 H 0.99-1.01
O  0.7840  0.5238  0.3688  1 P 1.51
O  0.8004  0.8723  0.1005  1 P 1.50
O  0.8244  0.5690  0.1107  2 P 1.62-1.63
O  0.8840  0.4839  0.7787  1 P 1.50
O  0.9410  0.9922  0.8069  1 P 1.50
O  0.9517  0.2870  0.2510  2 P 1.62

Results
SG	P-1, No. 2
calculated volume	301.8	Å³/f.u.
magnetization	0.000	μB per atom
DFT total energy	-5.757	eV per atom

***

Record 3
A geometry-optimized Pa2HN2O2 structure, computed with PBE.

Lattice parameters (Å, degrees): 3.7689 3.7689 7.7005 90.00 90.00 120.00
Closest atoms and distances in Å follow each position.
Atoms (fractional coordinates):
Pa  0.3333  0.6667  0.1909  4 N 2.27-2.28, 3 O 2.46
Pa  0.6667  0.3333  0.8091  4 N 2.27-2.28, 3 O 2.46
H  0.0000  0.0000  0.5000  2 O 1.22
N  0.3333  0.6667  0.8958  4 Pa 2.27-2.28
N  0.6667  0.3333  0.1042  4 Pa 2.27-2.28
O  0.0000  0.0000  0.3410  1 H 1.22
O  0.0000  0.0000  0.6590  1 H 1.22

Results
SG	P-3m1, No. 164
calculated volume	94.7	Å³/f.u.
magnetization	0.121	μB per atom
DFT total energy	-9.111	eV per atom

***

Record 4
A geometry-optimized Pa3HN2O6 structure, computed with PBE.

Lattice parameters (Å, degrees): 5.5760 5.5760 5.5784 93.54 93.54 90.52
Closest atoms and distances in Å follow each position.
Atoms (fractional coordinates):
Pa  0.0000  0.0000  0.0000  2 N 1.99
Pa  0.0000  0.5000  0.5000  4 O 2.09-2.26
Pa  0.5000  0.0000  0.5000  4 O 2.09-2.26
H  0.5000  0.5000  0.5000  2 O 1.23
N  0.2120  0.2120  0.2226  1 Pa 1.99
N  0.7880  0.7880  0.7774  1 Pa 1.99
O  0.1378  0.7383  0.2660  2 Pa 2.09-2.25
O  0.2617  0.8622  0.7340  2 Pa 2.09-2.25
O  0.3707  0.3707  0.6090  1 H 1.23
O  0.6293  0.6293  0.3910  1 H 1.23
O  0.7383  0.1378  0.2660  2 Pa 2.09-2.25
O  0.8622  0.2617  0.7340  2 Pa 2.09-2.25

Results
SG	C2/m, No. 12
calculated volume	172.8	Å³/f.u.
magnetization	0.000	μB per atom
DFT total energy	-8.805	eV per atom

***

Record 5
A geometry-optimized HPbN2O structure, computed with PBE.

Lattice parameters (Å, degrees): 4.7798 4.7798 4.2680 90.00 90.00 90.00
Closest atoms and distances in Å follow each position.
Atoms (fractional coordinates):
H  0.0000  0.0000  0.0000  8 N 3.20, 4 O 3.38
Pb  0.5000  0.5000  0.5000  2 O 2.13, 4 N 2.39
N  0.0000  0.5000  0.5000  2 Pb 2.39
N  0.5000  0.0000  0.5000  2 Pb 2.39
O  0.5000  0.5000  0.0000  2 Pb 2.13

Results
SG	P4/mmm, No. 123
calculated volume	97.5	Å³/f.u.
magnetization	1.042	μB per atom
DFT total energy	-3.727	eV per atom

***

Record 6
A geometry-optimized HPbN2O structure, computed with PBE.

Lattice parameters (Å, degrees): 3.1991 3.1991 5.2046 90.00 90.00 90.00
Closest atoms and distances in Å follow each position.
Atoms (fractional coordinates):
H  0.0000  0.0000  0.0000  4 N 1.60
Pb  0.5000  0.5000  0.5000  4 O 2.26
N  0.0000  0.5000  0.0000  2 H 1.60
N  0.5000  0.0000  0.0000  2 H 1.60
O  0.0000  0.0000  0.5000  4 Pb 2.26

Results
SG	P4/mmm, No. 123
calculated volume	53.3	Å³/f.u.
magnetization	0.063	μB per atom
DFT total energy	-4.279	eV per atom

***

Record 7
A geometry-optimized HPdNO2 structure, computed with PBE.

Lattice parameters (Å, degrees): 3.8919 3.8919 2.6410 90.00 90.00 90.00
Closest atoms and distances in Å follow each position.
Atoms (fractional coordinates):
H  0.0000  0.0000  0.0000  2 N 1.32
Pd  0.5000  0.5000  0.5000  8 O 2.35
N  0.0000  0.0000  0.5000  2 H 1.32
O  0.0000  0.5000  0.0000  2 H 1.95
O  0.5000  0.0000  0.0000  2 H 1.95

Results
SG	P4/mmm, No. 123
calculated volume	40.0	Å³/f.u.
magnetization	0.000	μB per atom
DFT total energy	-4.113	eV per atom

***

Record 8
A geometry-optimized HPdNO2 structure, computed with PBE.

Lattice parameters (Å, degrees): 4.0947 4.0947 3.7200 90.00 90.00 90.00
Closest atoms and distances in Å follow each position.
Atoms (fractional coordinates):
H  0.0000  0.0000  0.0000  8 O 2.77, 4 N 2.90
Pd  0.5000  0.5000  0.5000  2 N 1.86, 4 O 2.05
N  0.5000  0.5000  0.0000  2 Pd 1.86
O  0.0000  0.5000  0.5000  2 Pd 2.05
O  0.5000  0.0000  0.5000  2 Pd 2.05

Results
SG	P4/mmm, No. 123
calculated volume	62.4	Å³/f.u.
magnetization	0.167	μB per atom
DFT total energy	-3.871	eV per atom

***

Record 9
A geometry-optimized Pm4HN2O structure, computed with PBE.

Lattice parameters (Å, degrees): 6.2005 3.5886 6.2195 90.00 108.79 90.00
Closest atoms and distances in Å follow each position.
Atoms (fractional coordinates):
Pm  0.2359  0.0000  0.2338  3 N 2.47-2.52, 1 O 2.54, 2 H 2.63
Pm  0.2488  0.5000  0.7629  3 N 2.45-2.52, 2 O 2.58, 1 H 2.60
Pm  0.7512  0.5000  0.2371  3 N 2.45-2.52, 2 O 2.58, 1 H 2.60
Pm  0.7641  0.0000  0.7662  3 N 2.47-2.52, 1 O 2.54, 2 H 2.63
H  0.5000  0.5000  0.5000  6 Pm 2.60-2.63
N  0.0000  0.5000  0.0000  6 Pm 2.45-2.47
N  0.5000  0.0000  0.0000  6 Pm 2.52
O  0.0000  0.0000  0.5000  6 Pm 2.54-2.58

Results
SG	P2/m, No. 10
calculated volume	131.0	Å³/f.u.
magnetization	0.000	μB per atom
DFT total energy	-7.071	eV per atom

***

Record 10
A geometry-optimized Pr4HN2O structure, computed with PBE.

Lattice parameters (Å, degrees): 6.3278 3.6581 6.3597 90.00 108.84 90.00
Closest atoms and distances in Å follow each position.
Atoms (fractional coordinates):
Pr  0.2362  0.0000  0.2337  3 N 2.52-2.57, 1 O 2.60, 2 H 2.68
Pr  0.2482  0.5000  0.7626  3 N 2.51-2.57, 2 O 2.63, 1 H 2.65
Pr  0.7518  0.5000  0.2374  3 N 2.51-2.57, 2 O 2.63, 1 H 2.65
Pr  0.7638  0.0000  0.7663  3 N 2.52-2.57, 1 O 2.60, 2 H 2.68
H  0.5000  0.5000  0.5000  6 Pr 2.65-2.68
N  0.0000  0.5000  0.0000  6 Pr 2.51-2.52
N  0.5000  0.0000  0.0000  6 Pr 2.57
O  0.0000  0.0000  0.5000  6 Pr 2.60-2.63

Results
SG	P2/m, No. 10
calculated volume	139.3	Å³/f.u.
magnetization	0.000	μB per atom
DFT total energy	-6.999	eV per atom

***

Record 11
A geometry-optimized PrH20S4N5O16 structure, computed with PBE.

Lattice parameters (Å, degrees): 12.3118 12.3118 9.5009 95.97 95.97 140.07
Closest atoms and distances in Å follow each position.
Atoms (fractional coordinates):
Pr  0.0763  0.9237  0.5000  10 O 2.47-2.69
Pr  0.9237  0.0763  0.0000  10 O 2.47-2.69
H  0.0624  0.6458  0.7060  1 N 1.05
H  0.0801  0.6538  0.8871  1 N 1.03
H  0.1064  0.7982  0.8197  1 N 1.05
H  0.1739  0.6261  0.5023  1 N 1.04
H  0.1860  0.7391  0.1745  1 N 1.03
H  0.2018  0.8896  0.1842  1 N 1.05
H  0.2495  0.4161  0.6513  1 N 1.05
H  0.2581  0.8154  0.8340  1 N 1.03
H  0.2649  0.4498  0.8361  1 N 1.04
H  0.2964  0.6341  0.4255  1 N 1.03
H  0.3080  0.3589  0.7593  1 N 1.04
H  0.3459  0.9146  0.1184  1 N 1.03
H  0.3560  0.7146  0.6119  1 N 1.04
H  0.3555  0.9366  0.3000  1 N 1.05
H  0.3589  0.3080  0.2593  1 N 1.04
H  0.3758  0.8229  0.4983  1 N 1.04
H  0.4161  0.2495  0.1513  1 N 1.05
H  0.4199  0.5484  0.2214  1 N 1.03
H  0.4481  0.5774  0.7786  1 N 1.03
H  0.4498  0.2649  0.3361  1 N 1.04
H  0.5484  0.4199  0.7214  1 N 1.03
H  0.5477  0.7316  0.1637  1 N 1.04
H  0.5774  0.4481  0.2786  1 N 1.03
H  0.5820  0.7477  0.3484  1 N 1.05
H  0.6261  0.1739  0.0023  1 N 1.04
H  0.6341  0.2964  0.9255  1 N 1.03
H  0.6383  0.6882  0.2400  1 N 1.04
H  0.6458  0.0624  0.2060  1 N 1.05
H  0.6538  0.0801  0.3871  1 N 1.03
H  0.6882  0.6383  0.7400  1 N 1.04
H  0.7146  0.3560  0.1119  1 N 1.04
H  0.7316  0.5477  0.6637  1 N 1.04
H  0.7391  0.1860  0.6745  1 N 1.03
H  0.7477  0.5820  0.8484  1 N 1.05
H  0.7982  0.1064  0.3197  1 N 1.05
H  0.8154  0.2581  0.3340  1 N 1.03
H  0.8229  0.3758  0.9983  1 N 1.04
H  0.8896  0.2018  0.6842  1 N 1.05
H  0.9146  0.3459  0.6184  1 N 1.03
H  0.9366  0.3555  0.8000  1 N 1.05
S  0.1048  0.2253  0.3618  4 O 1.48-1.52
S  0.1055  0.4579  0.0767  4 O 1.47-1.52
S  0.2253  0.1048  0.8618  4 O 1.48-1.52
S  0.4579  0.1055  0.5767  4 O 1.47-1.52
S  0.5397  0.8911  0.9268  4 O 1.47-1.51
S  0.7744  0.8959  0.6381  4 O 1.48-1.52
S  0.8911  0.5397  0.4268  4 O 1.47-1.51
S  0.8959  0.7744  0.1381  4 O 1.48-1.52
N  0.1256  0.7284  0.8139  4 H 1.03-1.05
N  0.2720  0.8711  0.1919  4 H 1.03-1.05
N  0.3015  0.6992  0.5089  4 H 1.03-1.04
N  0.3188  0.4515  0.7578  4 H 1.03-1.05
N  0.4515  0.3188  0.2578  4 H 1.03-1.05
N  0.5459  0.6777  0.2419  4 H 1.03-1.05
N  0.6777  0.5459  0.7419  4 H 1.03-1.05
N  0.6992  0.3015  0.0089  4 H 1.03-1.04
N  0.7284  0.1256  0.3139  4 H 1.03-1.05
N  0.8711  0.2720  0.6919  4 H 1.03-1.05
O  0.0288  0.6853  0.3640  1 S 1.49
O  0.0325  0.4926  0.9821  1 S 1.52
O  0.0759  0.9112  0.7812  1 S 1.50
O  0.0891  0.9228  0.2203  1 S 1.50
O  0.1454  0.3932  0.9789  1 S 1.51
O  0.1502  0.1633  0.4447  1 S 1.49
O  0.1575  0.3664  0.4648  1 S 1.48
O  0.1633  0.1502  0.9447  1 S 1.49
O  0.1973  0.2905  0.2420  1 S 1.52
O  0.2629  0.6206  0.1947  1 S 1.47
O  0.2905  0.1973  0.7420  1 S 1.52
O  0.3085  0.9651  0.6357  1 S 1.49
O  0.3664  0.1575  0.9648  1 S 1.48
O  0.3744  0.7311  0.8112  1 S 1.47
O  0.3932  0.1454  0.4789  1 S 1.51
O  0.4926  0.0325  0.4821  1 S 1.52
O  0.5060  0.9647  0.0219  1 S 1.51
O  0.6066  0.8531  0.0238  1 S 1.51
O  0.6206  0.2629  0.6947  1 S 1.47
O  0.6345  0.8439  0.5339  1 S 1.48
O  0.6853  0.0288  0.8640  1 S 1.49
O  0.7076  0.8016  0.7567  1 S 1.52
O  0.7311  0.3744  0.3112  1 S 1.47
O  0.8016  0.7076  0.2567  1 S 1.52
O  0.8386  0.8526  0.5560  1 S 1.49
O  0.8439  0.6345  0.0339  1 S 1.48
O  0.8531  0.6066  0.5238  1 S 1.51
O  0.8526  0.8386  0.0560  1 S 1.49
O  0.9112  0.0759  0.2812  1 S 1.50
O  0.9228  0.0891  0.7203  1 S 1.50
O  0.9651  0.3085  0.1357  1 S 1.49
O  0.9647  0.5060  0.5219  1 S 1.51

Results
SG	Cc, No. 9
calculated volume	440.2	Å³/f.u.
magnetization	0.000	μB per atom
DFT total energy	-5.657	eV per atom

***

Record 12
A geometry-optimized RbH6N2O structure, computed with PBE.

Lattice parameters (Å, degrees): 6.6553 6.6553 5.6941 97.04 97.04 115.72
Closest atoms and distances in Å follow each position.
Atoms (fractional coordinates):
Rb  0.1550  0.8450  0.7500  6 H 2.86-3.17, 2 O 3.06, 2 N 3.17
Rb  0.8450  0.1550  0.2500  6 H 2.86-3.17, 2 O 3.06, 2 N 3.17
H  0.0269  0.2960  0.8349  1 N 1.05
H  0.2596  0.5027  0.0218  1 N 1.04
H  0.2818  0.3630  0.7668  1 N 1.03
H  0.2960  0.0269  0.3349  1 N 1.05
H  0.3630  0.2818  0.2668  1 N 1.03
H  0.4973  0.7404  0.4782  1 N 1.04
H  0.5027  0.2596  0.5218  1 N 1.04
H  0.6370  0.7182  0.7332  1 N 1.03
H  0.7040  0.9731  0.6651  1 N 1.05
H  0.7182  0.6370  0.2332  1 N 1.03
H  0.7404  0.4973  0.9782  1 N 1.04
H  0.9731  0.7040  0.1651  1 N 1.05
N  0.1977  0.3455  0.9082  3 H 1.03-1.05
N  0.3455  0.1977  0.4082  3 H 1.03-1.05
N  0.6545  0.8023  0.5918  3 H 1.03-1.05
N  0.8023  0.6545  0.0918  3 H 1.03-1.05
O  0.2537  0.7463  0.2500  4 H 1.76-1.97
O  0.7463  0.2537  0.7500  4 H 1.76-1.97

Results
SG	C2/c, No. 15
calculated volume	110.6	Å³/f.u.
magnetization	0.100	μB per atom
DFT total energy	-4.668	eV per atom